A geometry-optimized Tb2Dy5Ho5 structure. Source: the Alexandria database, functional GGA-PBE.

Summary:
As for the formation energy: 0.02 eV per atom. As for the space group: No. 12.

Unit cell a=4.988 b=7.889 c=10.596 alpha=72.67 beta=76.39 gamma=71.57
Fractional positions:
Tb (0.917, 0.417, 0.750)
Tb (0.083, 0.583, 0.250)
Dy (0.500, 0.500, 0.500)
Dy (0.333, 0.333, 0.000)
Dy (0.416, 0.917, 0.250)
Dy (0.584, 0.083, 0.750)
Dy (0.667, 0.667, 0.000)
Ho (0.833, 0.834, 0.500)
Ho (0.250, 0.750, 0.750)
Ho (0.750, 0.250, 0.250)
Ho (0.167, 0.166, 0.500)
Ho (0.000, 0.000, 0.000)

---

A geometry-optimized CrAgBr4 structure. Source: the Alexandria database, functional GGA-PBE.

Summary:
The calculation puts the relative energy among the computed polymorphs at 1.355 eV/atom. For the formation energy (no corrections), the calculation gives 770.5 meV per atom. As for the space group: No. 216.

Unit cell a=6.283 b=6.283 c=6.283 alpha=60.00 beta=60.00 gamma=60.00
Fractional positions:
Cr (0.750, 0.750, 0.750)
Ag (0.000, 0.000, 0.000)
Br (0.876, 0.375, 0.375)
Br (0.375, 0.375, 0.876)
Br (0.375, 0.876, 0.375)
Br (0.375, 0.375, 0.375)

---

Number 1: magnetic moment 0.0000 μB per atom. Number 2: magnetic moment 0.7158 μB per atom.